# PBE Ba5Zn, optimized geometry
data_Ba5Zn
_cell_length_a 15.051
_cell_length_b 4.292
_cell_length_c 10.749
_cell_angle_alpha 90.00
_cell_angle_beta 113.47
_cell_angle_gamma 90.00
_space_group_name_H-M_alt 'C 1 m 1'
_space_group_IT_number 8
_space_group_name_Hall 'C -2y'
loop_
_atom_site_label
_atom_site_fract_x
_atom_site_fract_y
_atom_site_fract_z
Ba1 0.000 0.000 0.000
Ba2 0.039 0.000 0.400
Ba3 0.165 0.500 0.775
Ba4 0.290 0.000 0.149
Ba5 0.329 0.000 0.549
Zn1 0.164 0.500 0.274
# ΔE_f = -0.036 eV per atom
# total DFT energy (no corrections) = -22.21 eV/cell
# DOS at the Fermi energy = 15.22 states/eV per cell
# offset from the most stable computed form = 0.03 eV per formula unit